*i*
The following is a DFT calculation (PBE) of a relaxed ZnCoAg3 crystal.

Cell: 4.8070 4.8070 4.8070 Å, 90.00 90.00 90.00°
Last column: nearest neighbours and their distance in Å.
Positions (direct):
1 Zn 0.0000 0.0000 0.0000  12 Ag 3.40
2 Co 0.5000 0.5000 0.5000  6 Ag 2.40
3 Ag 0.0000 0.5000 0.5000  2 Co 2.40
4 Ag 0.5000 0.0000 0.5000  2 Co 2.40
5 Ag 0.5000 0.5000 0.0000  2 Co 2.40

space-group type	No. 221

*ii*
The following is a DFT calculation (PBE) of a relaxed ZnCoAg3 crystal.

Cell: 4.7639 4.7639 4.7639 Å, 90.00 90.00 90.00°
Last column: nearest neighbours and their distance in Å.
Positions (direct):
1 Zn 0.0000 0.0000 0.0000  6 Ag 2.38
2 Co 0.5000 0.5000 0.5000  12 Ag 3.37
3 Ag 0.0000 0.0000 0.5000  2 Zn 2.38
4 Ag 0.0000 0.5000 0.0000  2 Zn 2.38
5 Ag 0.5000 0.0000 0.0000  2 Zn 2.38

space-group type	No. 221

Quick one: least stable of them? *ii*

*i*
The following is a DFT calculation (PBE) of a relaxed ZrCo2Ag crystal.

Cell: 6.1911 6.1911 6.1911 Å, 90.00 90.00 90.00°
Last column: nearest neighbours and their distance in Å.
Positions (direct):
1 Zr 0.0000 0.0000 0.0000  8 Co 2.68
2 Zr 0.0000 0.5000 0.5000  8 Co 2.68
3 Zr 0.5000 0.0000 0.5000  8 Co 2.68
4 Zr 0.5000 0.5000 0.0000  8 Co 2.68
5 Co 0.2500 0.2500 0.2500  4 Zr 2.68, 4 Ag 2.68
6 Co 0.2500 0.2500 0.7500  4 Zr 2.68, 4 Ag 2.68
7 Co 0.2500 0.7500 0.2500  4 Zr 2.68, 4 Ag 2.68
8 Co 0.2500 0.7500 0.7500  4 Zr 2.68, 4 Ag 2.68
9 Co 0.7500 0.2500 0.2500  4 Zr 2.68, 4 Ag 2.68
10 Co 0.7500 0.2500 0.7500  4 Zr 2.68, 4 Ag 2.68
11 Co 0.7500 0.7500 0.2500  4 Zr 2.68, 4 Ag 2.68
12 Co 0.7500 0.7500 0.7500  4 Ag 2.68, 4 Zr 2.68
13 Ag 0.0000 0.0000 0.5000  8 Co 2.68
14 Ag 0.0000 0.5000 0.0000  8 Co 2.68
15 Ag 0.5000 0.0000 0.0000  8 Co 2.68
16 Ag 0.5000 0.5000 0.5000  8 Co 2.68

space-group type	No. 225

*ii*
The following is a DFT calculation (PBE) of a relaxed ZrCo2Ag crystal.

Cell: 2.9980 2.9980 6.9065 Å, 90.00 90.00 90.00°
Last column: nearest neighbours and their distance in Å.
Positions (direct):
1 Zr 0.0000 0.0000 0.0000  5 Co 2.80-2.91, 4 Zr 3.00, 4 Ag 3.08
2 Co 0.0000 0.0000 0.5782  4 Co 2.38
3 Co 0.5000 0.5000 0.7355  4 Co 2.38
4 Ag 0.5000 0.5000 0.3227  5 Co 2.76-2.85, 4 Ag 3.00, 4 Zr 3.08

space-group type	No. 99

*iii*
The following is a DFT calculation (PBE) of a relaxed ZrCo2Ag crystal.

Cell: 3.0081 3.0081 24.7502 Å, 90.00 90.00 120.00°
Last column: nearest neighbours and their distance in Å.
Positions (direct):
1 Zr 0.0000 0.0000 0.0000  6 Co 2.64
2 Zr 0.3333 0.6667 0.6667  6 Co 2.64
3 Zr 0.6667 0.3333 0.3333  6 Co 2.64
4 Co 0.0000 0.0000 0.2533  3 Zr 2.64, 3 Ag 2.76
5 Co 0.0000 0.0000 0.7467  3 Zr 2.64, 3 Ag 2.76
6 Co 0.3333 0.6667 0.4134  3 Zr 2.64, 3 Ag 2.76
7 Co 0.3333 0.6667 0.9199  3 Zr 2.64, 3 Ag 2.76
8 Co 0.6667 0.3333 0.0801  3 Zr 2.64, 3 Ag 2.76
9 Co 0.6667 0.3333 0.5866  3 Zr 2.64, 3 Ag 2.76
10 Ag 0.0000 0.0000 0.5000  6 Co 2.76, 6 Ag 3.01
11 Ag 0.3333 0.6667 0.1667  6 Co 2.76, 6 Ag 3.01
12 Ag 0.6667 0.3333 0.8333  6 Co 2.76, 6 Ag 3.01

space-group type	No. 166

Quick one: least stable of them? *iii*